# KRb2Hg4Au3 (PBE, optimized geometry)
data_KRb2Hg4Au3
_symmetry_space_group_name_H-M 'P -4 m 2'
_symmetry_Int_Tables_number 115
_cell_length_a 4.819
_cell_length_b 4.819
_cell_length_c 13.789
_cell_angle_alpha 90.00
_cell_angle_beta 90.00
_cell_angle_gamma 90.00
loop_
_symmetry_equiv_pos_as_xyz
'x,y,z'
'y,-x,-z'
'-x,-y,z'
'-y,x,-z'
'-x,y,z'
'-y,-x,-z'
'x,-y,z'
'y,x,-z'
loop_
_atom_site_label
_atom_site_fract_x
_atom_site_fract_y
_atom_site_fract_z
_atom_site_occupancy
K1 0.000 0.000 0.000 1
Rb1 0.000 0.500 0.715 1
Hg1 0.000 0.000 0.500 1
Hg2 0.000 0.500 0.164 1
Hg3 0.500 0.500 0.500 1
Au1 0.000 0.500 0.372 1
Au2 0.500 0.500 0.000 1
# E_form: -212.9 meV/atom


# K2Rb5HgAu2 (PBE, optimized geometry)
data_K2Rb5HgAu2
_symmetry_space_group_name_H-M 'P 4/m b m'
_symmetry_Int_Tables_number 127
_symmetry_space_group_name_Hall '-P 4 2ab'
_cell_length_a 14.994
_cell_length_b 14.994
_cell_length_c 4.703
_cell_angle_alpha 90.00
_cell_angle_beta 90.00
_cell_angle_gamma 90.00
loop_
_atom_site_label
_atom_site_fract_x
_atom_site_fract_y
_atom_site_fract_z
_atom_site_occupancy
K1 0.199 0.301 0.000 1
Rb1 0.000 0.500 0.500 1
Rb2 0.053 0.790 0.500 1
Hg1 0.000 0.000 0.000 1
Au1 0.131 0.631 0.000 1
# E_form: -156.5 meV/atom


# K2ReHgAu (PBE, optimized geometry)
data_K2ReHgAu
_symmetry_space_group_name_H-M 'P 4/m m m'
_symmetry_Int_Tables_number 123
_symmetry_space_group_name_Hall '-P 4 2'
_cell_length_a 6.210
_cell_length_b 6.210
_cell_length_c 5.203
_cell_angle_alpha 90.00
_cell_angle_beta 90.00
_cell_angle_gamma 90.00
loop_
_atom_site_label
_atom_site_fract_x
_atom_site_fract_y
_atom_site_fract_z
_atom_site_occupancy
K1 0.000 0.500 0.000 1
Re1 0.000 0.000 0.500 1
Hg1 0.500 0.500 0.500 1
Au1 0.000 0.000 0.000 1
# E_form: 888.1 meV/atom


# K2HgSb3Au4 (PBE, optimized geometry)
data_K2HgSb3Au4
_symmetry_space_group_name_H-M 'P -4 m 2'
_symmetry_Int_Tables_number 115
_cell_length_a 4.924
_cell_length_b 4.924
_cell_length_c 11.116
_cell_angle_alpha 90.00
_cell_angle_beta 90.00
_cell_angle_gamma 90.00
loop_
_symmetry_equiv_pos_as_xyz
'x,y,z'
'y,-x,-z'
'-x,-y,z'
'-y,x,-z'
'-x,y,z'
'-y,-x,-z'
'x,-y,z'
'y,x,-z'
loop_
_atom_site_label
_atom_site_fract_x
_atom_site_fract_y
_atom_site_fract_z
_atom_site_occupancy
K1 0.000 0.500 0.245 1
Hg1 0.000 0.000 0.500 1
Sb1 0.000 0.500 0.875 1
Sb2 0.500 0.500 0.500 1
Au1 0.000 0.000 0.000 1
Au2 0.000 0.500 0.631 1
Au3 0.500 0.500 0.000 1
# E_form (uncorrected): -279 meV/atom


# K4Hg2Sb2Au (PBE, optimized geometry)
data_K4Hg2Sb2Au
_symmetry_space_group_name_H-M 'C 1 2/m 1'
_symmetry_Int_Tables_number 12
_cell_length_a 13.362
_cell_length_b 9.799
_cell_length_c 5.236
_cell_angle_alpha 90.00
_cell_angle_beta 94.55
_cell_angle_gamma 90.00
loop_
_symmetry_equiv_pos_as_xyz
'x,y,z'
'-x,-y,-z'
'-x,y,-z'
'x,-y,z'
'x+1/2,y+1/2,z'
'-x+1/2,-y+1/2,-z'
'-x+1/2,y+1/2,-z'
'x+1/2,-y+1/2,z'
loop_
_atom_site_label
_atom_site_fract_x
_atom_site_fract_y
_atom_site_fract_z
_atom_site_occupancy
K1 0.122 0.249 0.220 1
Hg1 0.175 0.500 0.732 1
Sb1 0.186 0.000 0.726 1
Au1 0.000 0.000 0.500 1
# E_form (uncorrected): -338 meV/atom


# KHgAuSe2 (PBE, optimized geometry)
data_KHgAuSe2
_symmetry_space_group_name_H-M 'P 4/m m m'
_symmetry_Int_Tables_number 123
_symmetry_space_group_name_Hall '-P 4 2'
_cell_length_a 5.398
_cell_length_b 5.398
_cell_length_c 5.292
_cell_angle_alpha 90.00
_cell_angle_beta 90.00
_cell_angle_gamma 90.00
loop_
_atom_site_label
_atom_site_fract_x
_atom_site_fract_y
_atom_site_fract_z
_atom_site_occupancy
K1 0.000 0.000 0.000 1
Hg1 0.500 0.500 0.500 1
Au1 0.500 0.500 0.000 1
Se1 0.000 0.500 0.500 1
# E_form (uncorrected): -7 meV/atom


# K2SiHgAu (PBE, optimized geometry)
data_K2SiHgAu
_symmetry_space_group_name_H-M 'P 4/m m m'
_symmetry_Int_Tables_number 123
_symmetry_space_group_name_Hall '-P 4 2'
_cell_length_a 6.474
_cell_length_b 6.474
_cell_length_c 4.609
_cell_angle_alpha 90.00
_cell_angle_beta 90.00
_cell_angle_gamma 90.00
loop_
_atom_site_label
_atom_site_fract_x
_atom_site_fract_y
_atom_site_fract_z
_atom_site_occupancy
K1 0.000 0.500 0.000 1
Si1 0.000 0.000 0.500 1
Hg1 0.500 0.500 0.500 1
Au1 0.000 0.000 0.000 1
# E_form (uncorrected): -91 meV/atom


# K2Sn3HgAu4 (PBE, optimized geometry)
data_K2Sn3HgAu4
_symmetry_space_group_name_H-M 'P -4 m 2'
_symmetry_Int_Tables_number 115
_cell_length_a 4.995
_cell_length_b 4.995
_cell_length_c 10.835
_cell_angle_alpha 90.00
_cell_angle_beta 90.00
_cell_angle_gamma 90.00
loop_
_symmetry_equiv_pos_as_xyz
'x,y,z'
'y,-x,-z'
'-x,-y,z'
'-y,x,-z'
'-x,y,z'
'-y,-x,-z'
'x,-y,z'
'y,x,-z'
loop_
_atom_site_label
_atom_site_fract_x
_atom_site_fract_y
_atom_site_fract_z
_atom_site_occupancy
K1 0.000 0.500 0.248 1
Sn1 0.000 0.500 0.884 1
Sn2 0.500 0.500 0.500 1
Hg1 0.000 0.000 0.500 1
Au1 0.000 0.000 0.000 1
Au2 0.000 0.500 0.630 1
Au3 0.500 0.500 0.000 1
# E_form: -290.7 meV/atom


no.,D(E_F) (states/eV/f.u.),theoretical density (g/cm³)
1,2.71,8.31
2,6.42,3.46
3,3.21,5.48
4,4.72,8.82
5,5.59,4.85
6,3.77,6.40
7,2.99,4.33
8,3.28,8.74